A relaxed La2Dy5Tm crystal. Source: Alexandria via LeMat-Bulk, functional PBE-GGA.

Cell: 10.7164 10.7164 10.7164 Å, 152.52 152.52 39.26°
Closest atoms and distances in Å follow each position.
Atoms (fractional coordinates):
La 0.2502 0.2502 0.0000  4 La 3.60, 8 Dy 3.64
La 0.7498 0.7498 0.0000  4 La 3.60, 8 Dy 3.64
Dy 0.0000 0.0000 0.0000  8 Dy 3.53, 4 Tm 3.60
Dy 0.1212 0.6212 0.5000  6 Dy 3.53-3.60, 2 Tm 3.53, 4 La 3.64
Dy 0.3788 0.8788 0.5000  2 Tm 3.53, 6 Dy 3.53-3.60, 4 La 3.64
Dy 0.6212 0.1212 0.5000  6 Dy 3.53-3.60, 2 Tm 3.53, 4 La 3.64
Dy 0.8788 0.3788 0.5000  2 Tm 3.53, 6 Dy 3.53-3.60, 4 La 3.64
Tm 0.5000 0.5000 0.0000  12 Dy 3.53-3.60

## Properties
ΔE_f = 0.25 eV per formula unit
Crystal system = tetragonal